# 1
The following is a DFT calculation (PBE) of a relaxed Nb3VRu crystal.

Geometry as CIF:
```
data_Nb3VRu
_space_group_name_H-M_alt 'P m -3 m'
_space_group_IT_number 221
_space_group_name_Hall '-P 4 2 3'
_cell_length_a 4.572
_cell_length_b 4.572
_cell_length_c 4.572
_cell_angle_alpha 90.00
_cell_angle_beta 90.00
_cell_angle_gamma 90.00
loop_
_atom_site_label
_atom_site_fract_x
_atom_site_fract_y
_atom_site_fract_z
Nb1 0.000 0.000 0.500
V1 0.000 0.000 0.000
Ru1 0.500 0.500 0.500
```

Computed properties:
E_form   1.14 eV per atom
DOS(E_F)   7.60 states/eV/f.u.
Density   7.48 g/cm3
Raw total energy   -42.91 eV per cell



# 2
The following is a DFT calculation (PBE) of a relaxed LiOs2Br crystal.

Geometry as CIF:
```
data_LiOs2Br
_space_group_name_H-M_alt 'C m m m'
_space_group_IT_number 65
_space_group_name_Hall '-C 2 2'
_cell_length_a 2.697
_cell_length_b 4.534
_cell_length_c 13.068
_cell_angle_alpha 90.00
_cell_angle_beta 90.00
_cell_angle_gamma 90.00
loop_
_atom_site_label
_atom_site_fract_x
_atom_site_fract_y
_atom_site_fract_z
Li1 0.000 0.000 0.000
Os1 0.000 0.500 0.178
Br1 0.000 0.000 0.500
```

Computed properties:
DOS(E_F)   4.02 states/eV/f.u.
Density   9.71 g/cm3
Raw total energy   -44.49 eV per cell
Energy relative to the elements, uncorrected   950 meV/atom